1.
Below is an optimized crystal structure of Ba2PbBr, with properties calculated at the PBE level.

Lattice parameters (Å, degrees): 5.2513 6.8117 9.1913 90.00 90.00 90.00
Closest atoms and distances in Å follow each position.
Space group Immm (No. 71)
One atom of each set of equivalent atoms:
1 Ba 0.0000 0.0000 0.2285  2 Br 3.36, 2 Pb 3.62
2 Pb 0.0000 0.5000 0.0000  8 Ba 3.62-4.00
3 Br 0.0000 0.5000 0.5000  4 Ba 3.36

Output
Density of states at the Fermi level ... 4.3 states/eV/f.u.
Mass density ... 5675 kg/m³
Energy above the most stable polymorph in this dataset ... 17.2 kJ/mol of atoms
E ... -13.0 eV/f.u.

---

2.
Below is an optimized crystal structure of BaPbBr, with properties calculated at the PBE level.

Lattice parameters (Å, degrees): 8.3112 8.3112 8.3112 90.00 90.00 90.00
Closest atoms and distances in Å follow each position.
Space group F-43m (No. 216)
One atom of each set of equivalent atoms:
1 Ba 0.0000 0.0000 0.0000  4 Pb 3.60, 4 Br 3.60
2 Pb 0.2500 0.2500 0.2500  4 Ba 3.60
3 Br 0.2500 0.2500 0.7500  4 Ba 3.60

Output
Density of states at the Fermi level ... 0.9 states/eV/f.u.
Mass density ... 4910 kg/m³
Energy above the most stable polymorph in this dataset ... 25.7 kJ/mol of atoms
E ... -9.0 eV/f.u.